The following is a PBE+U calculation of an optimized crystal structure of K2MnCdO4, from the Alexandria database.

Values from the calculation:
Total energy in eV/atom: -5.08
Total magnetic moment in μB per formula unit: 3.0

Structure (POSCAR):
```
K2MnCdO4
1.0
-3.003 3.003 3.879
3.003 -3.003 3.879
3.003 3.003 -3.879
K Mn Cd O
2 1 1 4
Direct
0.000 0.000 0.000
0.750 0.250 0.500
0.250 0.750 0.500
0.500 0.500 0.000
0.204 0.638 0.124
0.362 0.485 0.566
0.515 0.080 0.876
0.920 0.796 0.434
```